Entry 1:
# Sc2TcAs

A geometry-optimized Sc2TcAs structure (PBE-GGA, Alexandria via LeMat-Bulk).

a = 4.175 Å, b = 4.175 Å, c = 9.533 Å
α = 77.35°, β = 77.35°, γ = 90.00°
Atoms (fractional coordinates):
Sc 0.618 0.125 0.250
Sc 0.132 0.625 0.250
Sc 0.375 0.382 0.750
Sc 0.875 0.868 0.750
As 0.500 0.500 0.000
As 0.250 0.750 0.500
Tc 0.000 0.000 0.000
Tc 0.750 0.250 0.500

Properties
Its formation energy is 61.2 kJ/mol of formula units.

---

Entry 2:
# SrPu2NbN4

A geometry-optimized SrPu2NbN4 structure (PBE-GGA, Alexandria via LeMat-Bulk).

a = 3.484 Å, b = 6.355 Å, c = 12.322 Å
α = 90.00°, β = 90.00°, γ = 105.91°
Atoms (fractional coordinates):
Sr 0.101 0.201 0.750
Sr 0.899 0.799 0.250
Pu 0.370 0.741 0.534
Pu 0.630 0.259 0.034
Pu 0.630 0.259 0.466
Pu 0.370 0.741 0.966
Nb 0.836 0.671 0.750
Nb 0.164 0.329 0.250
N 0.260 0.519 0.122
N 0.740 0.481 0.622
N 0.740 0.481 0.878
N 0.260 0.519 0.378
N 0.000 0.000 0.500
N 0.000 0.000 0.000
N 0.427 0.853 0.750
N 0.573 0.147 0.250

Properties
Its energy relative to the elements, uncorrected is -1.016 eV per atom.

---

Entry 3:
# TbLu2Sc

A geometry-optimized TbLu2Sc structure (PBE-GGA, Alexandria via LeMat-Bulk).

a = 5.481 Å, b = 5.481 Å, c = 5.481 Å
α = 60.00°, β = 60.00°, γ = 60.00°
Atoms (fractional coordinates):
Sc 0.500 0.500 0.500
Lu 0.250 0.250 0.250
Lu 0.750 0.750 0.750
Tb 0.000 0.000 0.000

Properties
Its formation energy is 53.9 kJ/mol of formula units.

---

Entry 4:
# Sm2IrPt

A geometry-optimized Sm2IrPt structure (PBE-GGA, Alexandria via LeMat-Bulk).

a = 3.534 Å, b = 3.534 Å, c = 7.083 Å
α = 90.00°, β = 90.00°, γ = 90.00°
Atoms (fractional coordinates):
Ir 0.500 0.500 0.000
Sm 0.000 0.000 0.758
Sm 0.000 0.000 0.242
Pt 0.500 0.500 0.500

Properties
Its formation energy is -345.9 kJ/mol of formula units.